Record 1
# BaTa2Cu, optimized geometry, DFT PBEsol
# Theoretical density = 10.48 g/cm³
# Energy of formation from the pure elements = 0.52 eV/atom
data_BaTa2Cu
_chemical_formula_sum 'Ba1 Ta2 Cu1'
_cell_length_a 3.371
_cell_length_b 3.371
_cell_length_c 7.848
_cell_angle_alpha 90.00
_cell_angle_beta 90.00
_cell_angle_gamma 90.00
_symmetry_space_group_name_H-M 'P 4 m m'
_symmetry_Int_Tables_number 99
loop_
_symmetry_equiv_pos_as_xyz
'x,y,z'
'-y,x,z'
'-x,-y,z'
'y,-x,z'
'-x,y,z'
'y,x,z'
'x,-y,z'
'-y,-x,z'
loop_
_atom_site_label
_atom_site_fract_x
_atom_site_fract_y
_atom_site_fract_z
_atom_site_occupancy
Ba1 0.000 0.000 0.000 1
Ta1 0.000 0.000 0.528 1
Ta2 0.500 0.500 0.356 1
Cu1 0.500 0.500 0.696 1

=====

Record 2
# ScAl2In, optimized geometry, DFT PBEsol
# Theoretical density = 4.51 g/cm³
# Energy of formation from the pure elements = -0.23 eV/atom
data_ScAl2In
_chemical_formula_sum 'Sc1 Al2 In1'
_cell_length_a 3.022
_cell_length_b 4.638
_cell_length_c 5.608
_cell_angle_alpha 90.00
_cell_angle_beta 90.00
_cell_angle_gamma 90.00
_symmetry_space_group_name_H-M 'P m m 2'
_symmetry_Int_Tables_number 25
loop_
_symmetry_equiv_pos_as_xyz
'x,y,z'
'-x,-y,z'
'-x,y,z'
'x,-y,z'
loop_
_atom_site_label
_atom_site_fract_x
_atom_site_fract_y
_atom_site_fract_z
_atom_site_occupancy
Sc1 0.000 0.000 0.000 1
Al1 0.500 0.000 0.472 1
Al2 0.500 0.500 0.229 1
In1 0.500 0.500 0.746 1

=====

Record 3
# ScSn3Os, optimized geometry, DFT PBEsol
# Theoretical density = 6.86 g/cm³
# Energy of formation from the pure elements = 1.61 eV/atom
# Polymorph energy (0 for the lowest one) = 1162 meV/atom
data_ScSn3Os
_chemical_formula_sum 'Sc1 Sn3 Os1'
_cell_length_a 5.230
_cell_length_b 5.230
_cell_length_c 5.230
_cell_angle_alpha 90.00
_cell_angle_beta 90.00
_cell_angle_gamma 90.00
_symmetry_space_group_name_H-M 'P m -3 m'
_symmetry_Int_Tables_number 221
_symmetry_space_group_name_Hall '-P 4 2 3'
loop_
_atom_site_label
_atom_site_fract_x
_atom_site_fract_y
_atom_site_fract_z
_atom_site_occupancy
Sc1 0.000 0.000 0.000 1
Sn1 0.000 0.000 0.500 1
Os1 0.500 0.500 0.500 1